# Tm12Ru6C

Tm12Ru6C after structural relaxation (PBE, the Alexandria database).

Cell: 11.9686 11.9686 11.1291 Å, 90.00 90.00 120.00°
Space group R-3 (No. 148, hexagonal axes)
One atom of each set of equivalent atoms:
Tm (0.0319, 0.8194, 0.3904)
Tm (0.0441, 0.8461, 0.8876)
Ru (0.0529, 0.7822, 0.6491)
C (0.0000, 0.0000, 0.0000)


# TmRuC

TmRuC after structural relaxation (PBE, the Alexandria database).

The relative energy among the computed polymorphs is 0.00 eV/f.u.

Cell: 6.605 8.480 3.263 Å, 90.00 90.00 90.00°
Space group Cmmm (No. 65)
One atom of each set of equivalent atoms:
Tm (0.000, 0.209, 0.000)
Ru (0.200, 0.500, 0.500)
C (0.000, 0.000, 0.500)
C (0.000, 0.500, 0.000)


# TmRuC2

TmRuC2 after structural relaxation (PBE, the Alexandria database).

The relative energy among the computed polymorphs is 0.15 eV/f.u.

Cell: 3.496 4.738 6.294 Å, 90.00 90.00 90.00°
Space group Amm2 (No. 38)
One atom of each set of equivalent atoms:
Tm (0.000, 0.000, 0.000)
Ru (0.500, 0.000, 0.389)
C (0.500, 0.146, 0.709)


# Tm3RuC3

Tm3RuC3 after structural relaxation (PBE, the Alexandria database).

Cell: 8.595 10.264 4.987 Å, 90.00 90.00 90.00°
Space group Cmcm (No. 63)
One atom of each set of equivalent atoms:
Tm (0.000, 0.109, 0.250)
Tm (0.217, 0.380, 0.250)
Ru (0.000, 0.308, 0.750)
C (0.000, 0.119, 0.750)
C (0.211, 0.376, 0.750)


# Tm2RuC2

Tm2RuC2 after structural relaxation (PBE, the Alexandria database).

The relative energy among the computed polymorphs is 0.00 eV/f.u.

Cell: 6.422 5.014 9.654 Å, 90.00 90.00 90.00°
Space group Pnma (No. 62)
One atom of each set of equivalent atoms:
Tm (0.029, 0.250, 0.216)
Tm (0.174, 0.250, 0.556)
Ru (0.216, 0.250, 0.867)
C (0.048, 0.750, 0.242)
C (0.171, 0.750, 0.558)


# TmRuC2

TmRuC2 after structural relaxation (PBE, the Alexandria database).

The relative energy among the computed polymorphs is 0.00 eV/f.u.

Cell: 4.353 8.978 5.224 Å, 90.00 90.00 90.00°
Space group Cmcm (No. 63)
One atom of each set of equivalent atoms:
Tm (0.000, 0.183, 0.250)
Ru (0.000, 0.500, 0.000)
C (0.158, 0.087, 0.750)


# Tm2RuC2

Tm2RuC2 after structural relaxation (PBE, the Alexandria database).

The relative energy among the computed polymorphs is 1.31 eV/f.u.

Cell: 11.011 3.361 9.247 Å, 90.00 118.75 90.00°
Space group C2/m (No. 12)
One atom of each set of equivalent atoms:
Tm (0.025, 0.000, 0.178)
Tm (0.149, 0.000, 0.586)
Ru (0.221, 0.500, 0.877)
C (0.023, 0.500, 0.667)
C (0.164, 0.500, 0.085)


# TmRuC

TmRuC after structural relaxation (PBE, the Alexandria database).

The relative energy among the computed polymorphs is 0.21 eV/f.u.

Cell: 5.681 3.292 5.125 Å, 90.00 90.00 90.00°
Space group Pmma (No. 51)
One atom of each set of equivalent atoms:
Tm (0.250, 0.000, 0.238)
Ru (0.250, 0.500, 0.742)
C (0.000, 0.500, 0.500)


# Tm3Zn2Ru3C

Tm3Zn2Ru3C after structural relaxation (PBE, the Alexandria database).

Cell: 7.2219 7.2219 3.3087 Å, 90.00 90.00 120.00°
Space group P-62m (No. 189)
One atom of each set of equivalent atoms:
Tm (0.0000, 0.6366, 0.0000)
Zn (0.3333, 0.6667, 0.5000)
Ru (0.0000, 0.2252, 0.5000)
C (0.0000, 0.0000, 0.0000)


# Tm2ZnRuC

Tm2ZnRuC after structural relaxation (PBE, the Alexandria database).

Cell: 4.860 4.860 3.891 Å, 90.00 90.00 90.00°
Space group P4/mmm (No. 123)
One atom of each set of equivalent atoms:
Tm (0.000, 0.500, 0.000)
Zn (0.000, 0.000, 0.500)
Ru (0.500, 0.500, 0.500)
C (0.500, 0.500, 0.000)


# U2RuC2

U2RuC2 after structural relaxation (PBE, the Alexandria database).

Cell: 3.441 3.441 12.517 Å, 90.00 90.00 90.00°
Space group I4/mmm (No. 139)
One atom of each set of equivalent atoms:
U (0.000, 0.000, 0.145)
Ru (0.000, 0.000, 0.500)
C (0.000, 0.000, 0.328)


# V2RuC

V2RuC after structural relaxation (PBE, the Alexandria database).

Cell: 2.836 2.836 5.612 Å, 90.00 90.00 90.00°
Space group P4/mmm (No. 123)
One atom of each set of equivalent atoms:
V (0.000, 0.000, 0.198)
Ru (0.500, 0.500, 0.500)
C (0.500, 0.500, 0.000)


Calculated volume
In order: 460.2; 45.7; 52.1; 110.0; 77.7; 51.0; 75.0; 47.9; 149.4; 91.9; 74.1; 45.1
Unit: Å³/f.u.
Energy of formation from the pure elements
In order: -427; -79; -67; -242; -180; -81; -54; -58; -191; -206; -117; 50
Unit: kJ/mol of formula units
Electronic total energy
In order: -6.4715; -7.9284; -8.2222; -7.5522; -7.7069; -8.2593; -7.4459; -7.8574; -6.1109; -6.1705; -10.3019; -9.0547
Unit: eV per atom